# 1
A plane-wave DFT calculation with GGA-PBE was carried out for BePdAu after structural relaxation.

## Properties
Space-group type   F-43m, No. 216

The structure in POSCAR format:
```
BePdAu
1.0
0.000 2.795 2.795
2.795 0.000 2.795
2.795 2.795 0.000
Be Pd Au
1 1 1
direct
0.000 0.000 0.000 Be
0.250 0.250 0.250 Pd
0.750 0.750 0.750 Au
```


# 2
A plane-wave DFT calculation with GGA-PBE was carried out for ReTcIr after structural relaxation.

## Properties
Space-group type   F-43m, No. 216

The structure in POSCAR format:
```
ReTcIr
1.0
0.000 2.958 2.958
2.958 0.000 2.958
2.958 2.958 0.000
Re Tc Ir
1 1 1
direct
0.000 0.000 0.000 Re
0.250 0.250 0.250 Tc
0.750 0.750 0.750 Ir
```


The records above yield raw total energy values of -4.3773, -10.1764 eV per atom, respectively.
The records above yield calculated volume values of 14.6, 17.3 Å³/atom, respectively.